Record 1
Li3In3Ag | Alexandria via LeMat-Bulk | PBE | relaxed; crystal system = orthorhombic; calculated formation energy = -186 meV per atom
1.0
4.7289 -4.8689 0.0000
4.7289 4.8689 0.0000
0.0000 0.0000 6.3055
Li In Ag
6 6 2
direct
0.1963 0.1963 0.5000
0.2216 0.7784 0.0000
0.2344 0.2344 0.0000
0.7656 0.7656 0.0000
0.7784 0.2216 0.0000
0.8037 0.8037 0.5000
0.0000 0.5000 0.2491
0.0000 0.5000 0.7509
0.5000 0.0000 0.2491
0.5000 0.0000 0.7509
0.5000 0.5000 0.2527
0.5000 0.5000 0.7473
0.2184 0.7816 0.5000
0.7816 0.2184 0.5000

=====

Record 2
Li3In4Ag5 | Alexandria via LeMat-Bulk | PBE | relaxed; crystal system = monoclinic; calculated formation energy = -80 meV per atom
1.0
6.4360 -2.5344 0.0000
6.4360 2.5344 0.0000
-1.5075 0.0000 7.4220
Li In Ag
3 4 5
direct
0.0000 0.0000 0.0000
0.3660 0.3660 0.2452
0.6340 0.6340 0.7548
0.1852 0.1852 0.4017
0.2655 0.2655 0.8718
0.7345 0.7345 0.1282
0.8148 0.8148 0.5983
0.0497 0.0497 0.6802
0.4239 0.4239 0.6183
0.5000 0.5000 0.0000
0.5761 0.5761 0.3817
0.9503 0.9503 0.3198

=====

Record 3
Li5In2Ag2 | Alexandria via LeMat-Bulk | PBE | relaxed; crystal system = orthorhombic; calculated formation energy = -134 meV per atom
1.0
8.0332 -3.3221 0.0000
8.0332 3.3221 0.0000
0.0000 0.0000 6.5730
Li In Ag
10 4 4
direct
0.0000 0.0000 0.0000
0.0500 0.6999 0.6766
0.1999 0.5500 0.1766
0.3001 0.9500 0.6766
0.4500 0.8001 0.1766
0.5000 0.5000 0.5000
0.5500 0.1999 0.8234
0.6999 0.0500 0.3234
0.8001 0.4500 0.8234
0.9500 0.3001 0.3234
0.2294 0.2294 0.0000
0.2706 0.2706 0.5000
0.7294 0.7294 0.5000
0.7706 0.7706 0.0000
0.1438 0.8562 0.3585
0.3562 0.6438 0.8585
0.6438 0.3562 0.1415
0.8562 0.1438 0.6415

=====

Record 4
Li2InAg | Alexandria via LeMat-Bulk | PBE | relaxed; crystal system = orthorhombic; calculated formation energy = -192 meV per atom
1.0
2.9871 0.0000 0.0000
0.0000 4.2997 0.0000
0.0000 0.0000 5.7739
Li In Ag
2 1 1
direct
0.0000 0.0000 0.0000
0.5000 0.5000 0.2611
0.5000 0.5000 0.7546
0.0000 0.0000 0.4831

=====

Record 5
Li3InAg6 | Alexandria via LeMat-Bulk | PBE | relaxed; crystal system = monoclinic; calculated formation energy = -145 meV per atom; E above lowest polymorph = 0.000 eV per atom
1.0
8.0219 0.0000 0.0000
0.0000 4.5636 0.0000
-2.4012 0.0000 9.4193
Li In Ag
6 2 12
direct
0.0436 0.2500 0.3967
0.1483 0.7500 0.1861
0.2494 0.2500 0.9863
0.7506 0.7500 0.0137
0.8517 0.2500 0.8139
0.9564 0.7500 0.6033
0.4405 0.2500 0.6087
0.5595 0.7500 0.3913
0.0410 0.7500 0.8976
0.1229 0.2500 0.6937
0.2315 0.7500 0.4772
0.3241 0.2500 0.2834
0.3440 0.7500 0.7918
0.4364 0.7500 0.0881
0.5636 0.2500 0.9119
0.6560 0.2500 0.2082
0.6759 0.7500 0.7166
0.7685 0.2500 0.5228
0.8771 0.7500 0.3063
0.9590 0.2500 0.1024

=====

Record 6
Li2InAg6 | Alexandria via LeMat-Bulk | PBE | relaxed; crystal system = monoclinic; calculated formation energy = -103 meV per atom; E above lowest polymorph = 0.000 eV per atom
1.0
6.5771 -4.8409 0.0000
6.5771 4.8409 0.0000
-0.6613 0.0000 5.0337
Li In Ag
4 2 12
direct
0.0392 0.2865 0.0933
0.2865 0.0392 0.5933
0.7135 0.9608 0.4067
0.9608 0.7135 0.9067
0.3723 0.6277 0.7500
0.6277 0.3723 0.2500
0.0640 0.8241 0.4718
0.1437 0.4002 0.6591
0.1759 0.9360 0.0282
0.2452 0.5117 0.1981
0.4002 0.1437 0.1591
0.4883 0.7548 0.3019
0.5117 0.2452 0.6981
0.5998 0.8563 0.8409
0.7548 0.4883 0.8019
0.8241 0.0640 0.9718
0.8563 0.5998 0.3409
0.9360 0.1759 0.5282

=====

Record 7
LiIn4Ag2 | Alexandria via LeMat-Bulk | PBE | relaxed; crystal system = tetragonal; calculated formation energy = -103 meV per atom
1.0
4.9059 0.0000 0.0000
0.0000 4.9059 0.0000
0.0000 0.0000 6.4853
Li In Ag
1 4 2
direct
0.0000 0.0000 0.0000
0.0000 0.5000 0.2586
0.0000 0.5000 0.7414
0.5000 0.0000 0.2586
0.5000 0.0000 0.7414
0.0000 0.0000 0.5000
0.5000 0.5000 0.0000

=====

Record 8
Li2In2Ag3 | Alexandria via LeMat-Bulk | PBE | relaxed; crystal system = monoclinic; calculated formation energy = -186 meV per atom; E above lowest polymorph = 0.000 eV per atom
1.0
4.6969 -2.0328 0.0000
4.6969 2.0328 0.0000
-1.0144 0.0000 6.7616
Li In Ag
2 2 3
direct
0.2048 0.2048 0.1465
0.7952 0.7952 0.8535
0.0823 0.0823 0.7218
0.9177 0.9177 0.2782
0.3581 0.3581 0.5857
0.5000 0.5000 0.0000
0.6419 0.6419 0.4143

=====

Record 9
Li2In3Ag | Alexandria via LeMat-Bulk | PBE | relaxed; crystal system = tetragonal; calculated formation energy = -185 meV per atom
1.0
3.5195 0.0000 0.0000
0.0000 3.5195 0.0000
0.0000 0.0000 9.7851
Li In Ag
2 3 1
direct
0.0000 0.0000 0.1638
0.0000 0.0000 0.8362
0.5000 0.5000 0.0000
0.5000 0.5000 0.3286
0.5000 0.5000 0.6714
0.0000 0.0000 0.5000

=====

Record 10
Li2In4Ag | Alexandria via LeMat-Bulk | PBE | relaxed; crystal system = cubic; calculated formation energy = -106 meV per atom; E above lowest polymorph = 0.000 eV per atom
1.0
0.0000 6.8860 6.8860
6.8860 0.0000 6.8860
6.8860 6.8860 0.0000
Li In Ag
8 16 4
direct
0.1412 0.7863 0.7863
0.2137 0.2137 0.2137
0.2137 0.2137 0.8588
0.2137 0.8588 0.2137
0.7863 0.1412 0.7863
0.7863 0.7863 0.1412
0.7863 0.7863 0.7863
0.8588 0.2137 0.2137
0.0000 0.0000 0.0000
0.0000 0.0000 0.5000
0.0000 0.5000 0.0000
0.1471 0.1471 0.6029
0.1471 0.6029 0.1471
0.1471 0.6029 0.6029
0.3971 0.3971 0.8529
0.3971 0.8529 0.3971
0.3971 0.8529 0.8529
0.5000 0.0000 0.0000
0.6029 0.1471 0.1471
0.6029 0.1471 0.6029
0.6029 0.6029 0.1471
0.8529 0.3971 0.3971
0.8529 0.3971 0.8529
0.8529 0.8529 0.3971
0.0000 0.5000 0.5000
0.5000 0.0000 0.5000
0.5000 0.5000 0.0000
0.5000 0.5000 0.5000

=====

Record 11
LiIn2Ag4 | Alexandria via LeMat-Bulk | PBE | relaxed; crystal system = tetragonal; calculated formation energy = 208 meV per atom; E above lowest polymorph = 0.307 eV per atom
1.0
-2.2854 2.2854 7.1580
2.2854 -2.2854 7.1580
2.2854 2.2854 -7.1580
Li In Ag
1 2 4
direct
0.0000 0.0000 0.0000
0.3651 0.3651 0.0000
0.6349 0.6349 0.0000
0.0000 0.5000 0.5000
0.1727 0.1727 0.0000
0.5000 0.0000 0.5000
0.8273 0.8273 0.0000

=====

Record 12
Li4In2Ag5 | Alexandria via LeMat-Bulk | PBE | relaxed; crystal system = orthorhombic; calculated formation energy = -95 meV per atom; E above lowest polymorph = 0.048 eV per atom
1.0
-1.5363 3.7741 9.2210
1.5363 -3.7741 9.2210
1.5363 3.7741 -9.2210
Li In Ag
4 2 5
direct
0.1869 0.0000 0.1869
0.2301 0.2301 0.0000
0.7699 0.7699 0.0000
0.8131 0.0000 0.8131
0.3634 0.8634 0.5000
0.6366 0.1366 0.5000
0.0568 0.3761 0.6807
0.3046 0.6239 0.6807
0.5000 0.5000 0.0000
0.6954 0.3761 0.3193
0.9432 0.6239 0.3193

=====

Record 13
LiInAg3 | Alexandria via LeMat-Bulk | PBE | relaxed; crystal system = monoclinic; calculated formation energy = -159 meV per atom; E above lowest polymorph = 0.000 eV per atom
1.0
5.0030 0.0000 0.0000
0.0000 4.8374 0.0000
-2.3938 0.0000 7.4893
Li In Ag
2 2 6
direct
0.0892 0.2500 0.2938
0.9108 0.7500 0.7062
0.2830 0.2500 0.7017
0.7170 0.7500 0.2983
0.1172 0.7500 0.1010
0.3150 0.7500 0.5010
0.4817 0.2500 0.1034
0.5183 0.7500 0.8966
0.6850 0.2500 0.4990
0.8828 0.2500 0.8990

=====

Record 14
Li2In2Ag7 | Alexandria via LeMat-Bulk | PBE | relaxed; crystal system = monoclinic; calculated formation energy = -59 meV per atom; E above lowest polymorph = 0.008 eV per atom
1.0
4.6292 -4.8539 0.0000
4.6292 4.8539 0.0000
-2.0460 0.0000 4.6608
Li In Ag
2 2 7
direct
0.2397 0.7603 0.0000
0.7603 0.2397 0.0000
0.2297 0.2297 0.0662
0.7703 0.7703 0.9338
0.0000 0.0000 0.5000
0.0751 0.5875 0.3233
0.4100 0.4100 0.6872
0.4125 0.9249 0.6767
0.5875 0.0751 0.3233
0.5900 0.5900 0.3128
0.9249 0.4125 0.6767

=====

Record 15
Li5In4Ag | Alexandria via LeMat-Bulk | PBE | relaxed; crystal system = tetragonal; calculated formation energy = -273 meV per atom
1.0
3.2865 0.0000 0.0000
0.0000 3.2865 0.0000
0.0000 0.0000 17.4933
Li In Ag
5 4 1
direct
0.0000 0.0000 0.0000
0.0000 0.0000 0.2107
0.0000 0.0000 0.4169
0.0000 0.0000 0.5831
0.0000 0.0000 0.7893
0.5000 0.5000 0.1049
0.5000 0.5000 0.3177
0.5000 0.5000 0.6823
0.5000 0.5000 0.8951
0.5000 0.5000 0.5000

=====

Record 16
Li3InAg5 | Alexandria via LeMat-Bulk | PBE | relaxed; crystal system = hexagonal; calculated formation energy = -151 meV per atom
1.0
7.9637 0.0000 0.0000
-3.9818 6.8968 0.0000
0.0000 0.0000 5.6503
Li In Ag
6 2 10
direct
0.0000 0.3401 0.2500
0.0000 0.6599 0.7500
0.3401 0.0000 0.2500
0.3401 0.3401 0.7500
0.6599 0.0000 0.7500
0.6599 0.6599 0.2500
0.0000 0.0000 0.0000
0.0000 0.0000 0.5000
0.0000 0.3349 0.7500
0.0000 0.6651 0.2500
0.3333 0.6667 0.0000
0.3333 0.6667 0.5000
0.3349 0.0000 0.7500
0.3349 0.3349 0.2500
0.6651 0.0000 0.2500
0.6651 0.6651 0.7500
0.6667 0.3333 0.0000
0.6667 0.3333 0.5000

=====

Record 17
Li4In2Ag | Alexandria via LeMat-Bulk | PBE | relaxed; crystal system = trigonal; calculated formation energy = -232 meV per atom; E above lowest polymorph = 0.000 eV per atom
1.0
2.3455 1.3542 6.7998
-2.3455 1.3542 6.7998
0.0000 -2.7083 6.7998
Li In Ag
4 2 1
direct
0.0784 0.0784 0.0784
0.3633 0.3633 0.3633
0.6367 0.6367 0.6367
0.9216 0.9216 0.9216
0.2234 0.2234 0.2234
0.7766 0.7766 0.7766
0.5000 0.5000 0.5000

=====

Record 18
Li2InAg | Alexandria via LeMat-Bulk | PBE | relaxed; crystal system = tetragonal; calculated formation energy = -77 meV per atom
1.0
-3.7598 3.7598 2.7683
3.7598 -3.7598 2.7683
3.7598 3.7598 -2.7683
Li In Ag
4 2 2
direct
0.1030 0.6250 0.9780
0.3750 0.3530 0.4780
0.6470 0.1250 0.0220
0.8750 0.8970 0.5220
0.2500 0.7500 0.5000
0.5000 0.5000 0.0000
0.0000 0.0000 0.0000
0.7500 0.2500 0.5000

=====

Record 19
Li2In2Ag | Alexandria via LeMat-Bulk | PBE | relaxed; crystal system = tetragonal; calculated formation energy = -62 meV per atom; E above lowest polymorph = 0.171 eV per atom
1.0
-1.8767 1.8767 7.2762
1.8767 -1.8767 7.2762
1.8767 1.8767 -7.2762
Li In Ag
2 2 1
direct
0.2500 0.7500 0.5000
0.7500 0.2500 0.5000
0.1016 0.1016 0.0000
0.8984 0.8984 0.0000
0.5000 0.5000 0.0000

=====

Record 20
Li4In2Ag | Alexandria via LeMat-Bulk | PBE | relaxed; crystal system = orthorhombic; calculated formation energy = -110 meV per atom; E above lowest polymorph = 0.122 eV per atom
1.0
2.4477 -9.6459 0.0000
2.4477 9.6459 0.0000
0.0000 0.0000 2.9935
Li In Ag
4 2 1
direct
0.0714 0.9286 0.0000
0.3733 0.6267 0.5000
0.6267 0.3733 0.5000
0.9286 0.0714 0.0000
0.2031 0.7969 0.5000
0.7969 0.2031 0.5000
0.5000 0.5000 0.0000

=====

Record 21
Li2In2Ag | Alexandria via LeMat-Bulk | PBE | relaxed; crystal system = tetragonal; calculated formation energy = -153 meV per atom; E above lowest polymorph = 0.080 eV per atom
1.0
7.6218 0.0000 0.0000
0.0000 7.6218 0.0000
0.0000 0.0000 3.3991
Li In Ag
4 4 2
direct
0.1568 0.3432 0.0000
0.3432 0.8432 0.0000
0.6568 0.1568 0.0000
0.8432 0.6568 0.0000
0.1439 0.6439 0.5000
0.3561 0.1439 0.5000
0.6439 0.8561 0.5000
0.8561 0.3561 0.5000
0.0000 0.0000 0.5000
0.5000 0.5000 0.5000

=====

Total moment values (in μB/atom) by entry order: 0.00; 0.00; 0.00; 0.00; 0.00; 0.00; 0.00; 0.00; 0.00; 0.00; 0.00; 0.00; 0.00; 0.00; 0.00; 0.00; 0.00; 0.00; 0.00; 0.00; 0.00.